1.
Entry from Alexandria: a relaxed YHoHf crystal (PBE).

Results
SG = I4mm
Uncorrected energy = -6.8781 eV per atom
Magnetic moment = 0.0 Bohr magnetons per cell
DOS at the Fermi energy = 1.429 states/eV/atom
DFT formation energy = 0.361 eV per formula unit

a = 3.370 Å, b = 3.370 Å, c = 7.764 Å
α = 102.54°, β = 102.54°, γ = 90.00°
Element x y z (fractional)
Hf 0.665 0.665 0.331
Ho 0.013 0.013 0.025
Y 0.322 0.322 0.644

---

2.
Entry from Alexandria: a relaxed YHoHf crystal (PBE).

Results
SG = P4/nmm
Uncorrected energy = -6.8635 eV per atom
Magnetic moment = 0.0 Bohr magnetons per cell
DOS at the Fermi energy = 1.576 states/eV/atom
DFT formation energy = 0.405 eV per formula unit

a = 3.733 Å, b = 3.733 Å, c = 12.536 Å
α = 90.00°, β = 90.00°, γ = 90.00°
Element x y z (fractional)
Ho 0.500 0.000 0.409
Ho 0.000 0.500 0.591
Hf 0.500 0.000 0.051
Hf 0.000 0.500 0.949
Y 0.500 0.000 0.791
Y 0.000 0.500 0.209

---

3.
Entry from Alexandria: a relaxed YHoHf2 crystal (PBE).

Results
SG = P4/mmm
Uncorrected energy = -7.5390 eV per atom
Magnetic moment = 0.0 Bohr magnetons per cell
DOS at the Fermi energy = 1.252 states/eV/atom
DFT formation energy = 0.793 eV per formula unit

a = 4.816 Å, b = 4.647 Å, c = 4.647 Å
α = 90.00°, β = 90.00°, γ = 90.00°
Element x y z (fractional)
Y 0.500 0.500 0.500
Ho 0.500 0.000 0.000
Hf 0.000 0.000 0.500
Hf 0.000 0.500 0.000

---

4.
Entry from Alexandria: a relaxed YHo2Hf crystal (PBE).

Results
SG = P4/mmm
Uncorrected energy = -6.2482 eV per atom
Magnetic moment = 0.0 Bohr magnetons per cell
DOS at the Fermi energy = 1.232 states/eV/atom
DFT formation energy = 0.580 eV per formula unit

a = 4.835 Å, b = 4.839 Å, c = 4.839 Å
α = 90.00°, β = 90.00°, γ = 90.00°
Element x y z (fractional)
Hf 0.500 0.500 0.500
Ho 0.000 0.000 0.500
Ho 0.000 0.500 0.000
Y 0.500 0.000 0.000

---

5.
Entry from Alexandria: a relaxed HoHfZn4 crystal (PBE).

Results
SG = Pmmm
Uncorrected energy = -3.5488 eV per atom
Magnetic moment = 0.0 Bohr magnetons per cell
DOS at the Fermi energy = 0.706 states/eV/atom
DFT formation energy = -1.666 eV per formula unit

a = 3.243 Å, b = 4.411 Å, c = 7.645 Å
α = 90.00°, β = 90.00°, γ = 90.00°
Element x y z (fractional)
Zn 0.499 0.497 0.674
Zn 0.499 0.997 0.838
Zn 0.499 0.497 0.323
Zn 0.499 0.997 0.159
Hf 0.999 0.497 0.998
Ho 0.999 0.997 0.498

---

6.
Entry from Alexandria: a relaxed Ho2HfZn4 crystal (PBE).

Results
SG = I4/mmm
Uncorrected energy = -3.5671 eV per atom
Magnetic moment = 0.0 Bohr magnetons per cell
DOS at the Fermi energy = 0.514 states/eV/atom
DFT formation energy = -0.765 eV per formula unit

a = 4.968 Å, b = 4.968 Å, c = 7.081 Å
α = 110.54°, β = 110.54°, γ = 90.00°
Element x y z (fractional)
Zn 0.105 0.605 0.209
Zn 0.895 0.395 0.791
Zn 0.395 0.895 0.791
Zn 0.605 0.105 0.209
Ho 0.270 0.270 0.540
Ho 0.730 0.730 0.460
Hf 0.000 0.000 0.000

---

7.
Entry from Alexandria: a relaxed HoHf2Zn6 crystal (PBE).

Results
SG = P6/mmm
Uncorrected energy = -3.8240 eV per atom
Magnetic moment = 0.0 Bohr magnetons per cell
DOS at the Fermi energy = 0.601 states/eV/atom
DFT formation energy = -2.288 eV per formula unit

a = 3.193 Å, b = 7.603 Å, c = 7.602 Å
α = 120.00°, β = 89.97°, γ = 90.00°
Element x y z (fractional)
Zn 0.500 0.338 0.338
Zn 0.500 0.662 0.662
Zn 0.500 0.000 0.662
Zn 0.500 0.662 0.000
Zn 0.500 0.338 0.000
Zn 0.500 0.000 0.338
Ho 0.000 0.000 0.000
Hf 0.000 0.667 0.333
Hf 0.000 0.333 0.667

---

8.
Entry from Alexandria: a relaxed HoHf2Zn9 crystal (PBE).

Results
SG = R-3m
Uncorrected energy = -3.2438 eV per atom
Magnetic moment = 1.5 Bohr magnetons per cell
DOS at the Fermi energy = 0.676 states/eV/atom
DFT formation energy = -2.975 eV per formula unit

a = 5.266 Å, b = 5.266 Å, c = 8.882 Å
α = 72.76°, β = 72.76°, γ = 60.00°
Last column: magnetic moment on the atom in μB.
Element x y z (fractional)
Zn 0.335 0.335 0.994  0.01
Zn 0.078 0.590 0.743  0.02
Zn 0.665 0.665 0.006  0.01
Zn 0.590 0.590 0.743  0.02
Zn 0.922 0.410 0.257  0.02
Zn 0.500 0.500 0.500  0.00
Zn 0.590 0.078 0.743  0.02
Zn 0.410 0.410 0.257  0.02
Zn 0.410 0.922 0.257  0.02
Ho 0.000 0.000 0.000  0.06
Hf 0.144 0.144 0.568  0.41
Hf 0.856 0.856 0.432  0.41

---

9.
Entry from Alexandria: a relaxed HoHf2Zn crystal (PBE).

Results
SG = R-3m
Uncorrected energy = -6.1455 eV per atom
Magnetic moment = 0.0 Bohr magnetons per cell
DOS at the Fermi energy = 0.969 states/eV/atom
DFT formation energy = 1.177 eV per formula unit

a = 3.137 Å, b = 3.137 Å, c = 10.975 Å
α = 81.78°, β = 81.78°, γ = 60.00°
Element x y z (fractional)
Ho 0.000 0.000 0.000
Zn 0.500 0.500 0.500
Hf 0.902 0.902 0.294
Hf 0.098 0.098 0.706

---

10.
Entry from Alexandria: a relaxed HoHfZn2 crystal (PBE).

Results
SG = Fm-3m
Uncorrected energy = -4.4595 eV per atom
Magnetic moment = 0.0 Bohr magnetons per cell
DOS at the Fermi energy = 1.154 states/eV/atom
DFT formation energy = -0.759 eV per formula unit

a = 4.841 Å, b = 4.841 Å, c = 4.841 Å
α = 60.00°, β = 60.00°, γ = 60.00°
Element x y z (fractional)
Zn 0.750 0.750 0.750
Zn 0.250 0.250 0.250
Hf 0.500 0.500 0.500
Ho 0.000 0.000 0.000

---

11.
Entry from Alexandria: a relaxed Ho5HfZn4 crystal (PBE).

Results
SG = P4/mmm
Uncorrected energy = -4.0295 eV per atom
Magnetic moment = 0.0 Bohr magnetons per cell
DOS at the Fermi energy = 1.073 states/eV/atom
DFT formation energy = -2.357 eV per formula unit

a = 3.475 Å, b = 3.475 Å, c = 19.192 Å
α = 90.00°, β = 90.00°, γ = 90.00°
Element x y z (fractional)
Ho 0.500 0.500 0.311
Ho 0.500 0.500 0.500
Ho 0.500 0.500 0.884
Ho 0.500 0.500 0.116
Ho 0.500 0.500 0.689
Zn 0.000 0.000 0.595
Zn 0.000 0.000 0.215
Zn 0.000 0.000 0.405
Zn 0.000 0.000 0.785
Hf 0.000 0.000 0.000

---

12.
Entry from Alexandria: a relaxed HoHfZn4 crystal (PBE).

Results
SG = F-43m
Uncorrected energy = -3.4891 eV per atom
Magnetic moment = 1.1 Bohr magnetons per cell
DOS at the Fermi energy = 0.940 states/eV/atom
DFT formation energy = -1.308 eV per formula unit

a = 5.320 Å, b = 5.320 Å, c = 5.320 Å
α = 60.00°, β = 60.00°, γ = 60.00°
Last column: magnetic moment on the atom in μB.
Element x y z (fractional)
Zn 0.626 0.123 0.626  0.02
Zn 0.626 0.626 0.123  0.02
Zn 0.626 0.626 0.626  0.02
Zn 0.123 0.626 0.626  0.02
Hf 0.000 0.000 0.000  0.40
Ho 0.250 0.250 0.250  0.32

---

13.
Entry from Alexandria: a relaxed HoHfZn2 crystal (PBE).

Results
SG = P4/mmm
Uncorrected energy = -4.5099 eV per atom
Magnetic moment = 0.0 Bohr magnetons per cell
DOS at the Fermi energy = 0.873 states/eV/atom
DFT formation energy = -0.961 eV per formula unit

a = 3.421 Å, b = 3.421 Å, c = 6.848 Å
α = 90.00°, β = 90.00°, γ = 90.00°
Element x y z (fractional)
Zn 0.000 0.000 0.224
Zn 0.000 0.000 0.776
Hf 0.500 0.500 0.000
Ho 0.500 0.500 0.500

---

14.
Entry from Alexandria: a relaxed Ho4HfZn5 crystal (PBE).

Results
SG = P4/mmm
Uncorrected energy = -3.7581 eV per atom
Magnetic moment = 0.0 Bohr magnetons per cell
DOS at the Fermi energy = 1.074 states/eV/atom
DFT formation energy = -2.946 eV per formula unit

a = 3.499 Å, b = 3.499 Å, c = 17.522 Å
α = 90.00°, β = 90.00°, γ = 90.00°
Element x y z (fractional)
Ho 0.000 0.000 0.603
Ho 0.000 0.000 0.808
Ho 0.000 0.000 0.192
Ho 0.000 0.000 0.397
Zn 0.500 0.500 0.500
Zn 0.500 0.500 0.915
Zn 0.500 0.500 0.085
Zn 0.500 0.500 0.706
Zn 0.500 0.500 0.294
Hf 0.000 0.000 0.000

---

15.
Entry from Alexandria: a relaxed HoHfZn17 crystal (PBE).

Results
SG = R3m
Uncorrected energy = -2.0521 eV per atom
Magnetic moment = 0.0 Bohr magnetons per cell
DOS at the Fermi energy = 0.232 states/eV/atom
DFT formation energy = -2.801 eV per formula unit

a = 6.720 Å, b = 6.720 Å, c = 6.720 Å
α = 82.61°, β = 82.61°, γ = 82.61°
Element x y z (fractional)
Zn 0.349 0.349 0.853
Zn 0.509 0.991 0.991
Zn 0.638 0.638 0.178
Zn 0.697 0.299 0.003
Zn 0.349 0.853 0.349
Zn 0.991 0.509 0.991
Zn 0.105 0.105 0.105
Zn 0.697 0.003 0.299
Zn 0.991 0.991 0.509
Zn 0.853 0.349 0.349
Zn 0.638 0.178 0.638
Zn 0.178 0.638 0.638
Zn 0.003 0.697 0.299
Zn 0.905 0.905 0.905
Zn 0.299 0.697 0.003
Zn 0.299 0.003 0.697
Zn 0.003 0.299 0.697
Ho 0.665 0.665 0.665
Hf 0.331 0.331 0.331

---

16.
Entry from Alexandria: a relaxed HoHfZr2 crystal (PBE).

Results
SG = P4/mmm
Uncorrected energy = -7.7800 eV per atom
Magnetic moment = 0.0 Bohr magnetons per cell
DOS at the Fermi energy = 1.492 states/eV/atom
DFT formation energy = 0.508 eV per formula unit

a = 4.586 Å, b = 4.617 Å, c = 4.617 Å
α = 90.00°, β = 90.00°, γ = 90.00°
Element x y z (fractional)
Ho 0.500 0.500 0.500
Zr 0.000 0.000 0.500
Zr 0.000 0.500 0.000
Hf 0.500 0.000 0.000

---

17.
Entry from Alexandria: a relaxed HoHfZr14 crystal (PBE).

Results
SG = Amm2
Uncorrected energy = -8.3302 eV per atom
Magnetic moment = 0.0 Bohr magnetons per cell
DOS at the Fermi energy = 1.270 states/eV/atom
DFT formation energy = 0.922 eV per formula unit

a = 6.302 Å, b = 6.302 Å, c = 9.958 Å
α = 90.00°, β = 90.00°, γ = 106.84°
Element x y z (fractional)
Zr 0.340 0.087 0.247
Zr 0.123 0.462 0.500
Zr 0.340 0.087 0.753
Zr 0.639 0.361 0.000
Zr 0.852 0.148 0.260
Zr 0.400 0.600 0.764
Zr 0.129 0.296 0.000
Zr 0.538 0.877 0.500
Zr 0.704 0.871 0.000
Zr 0.913 0.660 0.247
Zr 0.196 0.804 0.000
Zr 0.913 0.660 0.753
Zr 0.400 0.600 0.236
Zr 0.852 0.148 0.740
Hf 0.051 0.949 0.500
Ho 0.612 0.388 0.500

---

18.
Entry from Alexandria: a relaxed HoHf2Zr crystal (PBE).

Results
SG = P4/mmm
Uncorrected energy = -8.1097 eV per atom
Magnetic moment = 0.0 Bohr magnetons per cell
DOS at the Fermi energy = 1.396 states/eV/atom
DFT formation energy = 0.594 eV per formula unit

a = 4.606 Å, b = 4.584 Å, c = 4.584 Å
α = 90.00°, β = 90.00°, γ = 90.00°
Element x y z (fractional)
Zr 0.500 0.000 0.000
Hf 0.000 0.000 0.500
Hf 0.000 0.500 0.000
Ho 0.500 0.500 0.500

---

19.
Entry from Alexandria: a relaxed Ho2HfZr crystal (PBE).

Results
SG = R3m
Uncorrected energy = -6.7798 eV per atom
Magnetic moment = 0.0 Bohr magnetons per cell
DOS at the Fermi energy = 1.372 states/eV/atom
DFT formation energy = 0.538 eV per formula unit

a = 3.343 Å, b = 3.343 Å, c = 10.962 Å
α = 81.23°, β = 81.23°, γ = 60.00°
Element x y z (fractional)
Hf 0.666 0.666 0.001
Zr 0.500 0.500 0.499
Ho 0.083 0.083 0.752
Ho 0.251 0.251 0.248

---

20.
Entry from Alexandria: a relaxed HoHfZr2 crystal (PBE).

Results
SG = P4/mmm
Uncorrected energy = -7.7928 eV per atom
Magnetic moment = 0.0 Bohr magnetons per cell
DOS at the Fermi energy = 1.275 states/eV/atom
DFT formation energy = 0.456 eV per formula unit

a = 3.778 Å, b = 3.778 Å, c = 6.923 Å
α = 90.00°, β = 90.00°, γ = 90.00°
Element x y z (fractional)
Zr 0.000 0.000 0.213
Zr 0.000 0.000 0.787
Ho 0.500 0.500 0.500
Hf 0.500 0.500 0.000

---

21.
Entry from Alexandria: a relaxed HoHfZr2 crystal (PBE).

Results
SG = R-3m
Uncorrected energy = -7.7014 eV per atom
Magnetic moment = 0.0 Bohr magnetons per cell
DOS at the Fermi energy = 1.360 states/eV/atom
DFT formation energy = 0.822 eV per formula unit

a = 3.213 Å, b = 3.213 Å, c = 11.409 Å
α = 81.91°, β = 81.91°, γ = 60.00°
Element x y z (fractional)
Ho 0.000 0.000 0.000
Hf 0.500 0.500 0.500
Zr 0.093 0.093 0.721
Zr 0.907 0.907 0.279

---

22.
Entry from Alexandria: a relaxed HoHf2Zr4 crystal (PBE).

Results
SG = P2/m
Uncorrected energy = -8.1176 eV per atom
Magnetic moment = 0.0 Bohr magnetons per cell
DOS at the Fermi energy = 1.559 states/eV/atom
DFT formation energy = 1.854 eV per formula unit

a = 3.182 Å, b = 5.219 Å, c = 11.841 Å
α = 116.11°, β = 90.00°, γ = 90.00°
Element x y z (fractional)
Ho 0.999 0.000 0.000
Zr 0.000 0.273 0.773
Zr 0.500 0.264 0.264
Zr 0.500 0.736 0.736
Zr 0.000 0.727 0.227
Hf 0.000 0.500 0.500
Hf 0.500 0.000 0.500

---

23.
Entry from Alexandria: a relaxed Ho2HfZr crystal (PBE).

Results
SG = P4/mmm
Uncorrected energy = -6.7660 eV per atom
Magnetic moment = 0.0 Bohr magnetons per cell
DOS at the Fermi energy = 1.204 states/eV/atom
DFT formation energy = 0.593 eV per formula unit

a = 4.804 Å, b = 4.658 Å, c = 4.658 Å
α = 90.00°, β = 90.00°, γ = 90.00°
Element x y z (fractional)
Hf 0.500 0.000 0.000
Ho 0.000 0.500 0.000
Ho 0.000 0.000 0.500
Zr 0.500 0.500 0.500

---

24.
Entry from Alexandria: a relaxed HoHf2Zr crystal (PBE).

Results
SG = P4/mmm
Uncorrected energy = -8.1096 eV per atom
Magnetic moment = 0.0 Bohr magnetons per cell
DOS at the Fermi energy = 1.151 states/eV/atom
DFT formation energy = 0.594 eV per formula unit

a = 3.761 Å, b = 3.761 Å, c = 6.924 Å
α = 90.00°, β = 90.00°, γ = 90.00°
Element x y z (fractional)
Hf 0.000 0.000 0.213
Hf 0.000 0.000 0.787
Zr 0.500 0.500 0.000
Ho 0.500 0.500 0.500

---

25.
Entry from Alexandria: a relaxed HoHfZr2 crystal (PBE).

Results
SG = R3m
Uncorrected energy = -7.8254 eV per atom
Magnetic moment = 0.0 Bohr magnetons per cell
DOS at the Fermi energy = 1.447 states/eV/atom
DFT formation energy = 0.326 eV per formula unit

a = 3.272 Å, b = 3.272 Å, c = 10.765 Å
α = 81.26°, β = 81.26°, γ = 60.00°
Element x y z (fractional)
Ho 0.500 0.500 0.501
Zr 0.254 0.254 0.237
Zr 0.079 0.079 0.762
Hf 0.667 0.667 0.000

---

26.
Entry from Alexandria: a relaxed HoHf2Zr crystal (PBE).

Results
SG = R3m
Uncorrected energy = -8.1513 eV per atom
Magnetic moment = 0.0 Bohr magnetons per cell
DOS at the Fermi energy = 1.351 states/eV/atom
DFT formation energy = 0.428 eV per formula unit

a = 3.264 Å, b = 3.264 Å, c = 10.704 Å
α = 81.27°, β = 81.27°, γ = 60.03°
Element x y z (fractional)
Hf 0.254 0.254 0.238
Hf 0.079 0.079 0.761
Ho 0.500 0.500 0.500
Zr 0.667 0.667 0.000

---

27.
Entry from Alexandria: a relaxed HoHf2Zr crystal (PBE).

Results
SG = R-3m
Uncorrected energy = -8.1304 eV per atom
Magnetic moment = 0.0 Bohr magnetons per cell
DOS at the Fermi energy = 1.375 states/eV/atom
DFT formation energy = 0.511 eV per formula unit

a = 3.239 Å, b = 3.239 Å, c = 10.839 Å
α = 81.41°, β = 81.41°, γ = 60.00°
Element x y z (fractional)
Ho 0.500 0.500 0.500
Hf 0.746 0.746 0.762
Hf 0.254 0.254 0.238
Zr 0.000 0.000 0.000